Material: Li3CrO4
Method: DFT, PBE+U
State: relaxed

Computed properties:
- Spin magnetization: 1.0 μB/f.u.
- Calculated density: 3.285 g/cm3
- Distance to the lowest polymorph of the same formula: 75 meV/atom
- Volume: 276.68 Å³ per cell

abc: 5.802 5.802 8.220
angles: 90.00 90.00 90.00
Each line ends with the local moment (μB).
Positions (direct):
Li (0.000, 0.255, 0.000)  0.00
Li (0.000, 0.761, 0.000)  0.00
Li (0.000, 0.239, 0.500)  0.00
Li (0.000, 0.745, 0.500)  0.00
Li (0.251, 0.500, 0.250)  0.00
Li (0.255, 0.000, 0.750)  0.00
Li (0.239, 0.000, 0.250)  0.00
Li (0.500, 0.251, 0.500)  0.00
Li (0.500, 0.749, 0.000)  0.00
Li (0.761, 0.000, 0.750)  0.00
Li (0.745, 0.000, 0.250)  0.00
Li (0.749, 0.500, 0.750)  0.00
Cr (0.225, 0.500, 0.750)  1.29
Cr (0.500, 0.225, 0.000)  1.29
Cr (0.500, 0.775, 0.500)  1.29
Cr (0.775, 0.500, 0.250)  1.29
O (0.022, 0.271, 0.744)  -0.06
O (0.022, 0.729, 0.756)  -0.06
O (0.270, 0.492, 0.979)  -0.07
O (0.270, 0.508, 0.521)  -0.07
O (0.271, 0.022, 0.006)  -0.06
O (0.271, 0.978, 0.494)  -0.06
O (0.492, 0.270, 0.771)  -0.07
O (0.492, 0.730, 0.729)  -0.07
O (0.508, 0.270, 0.229)  -0.07
O (0.508, 0.730, 0.271)  -0.07
O (0.729, 0.978, 0.506)  -0.06
O (0.729, 0.022, 0.994)  -0.06
O (0.730, 0.492, 0.021)  -0.07
O (0.730, 0.508, 0.479)  -0.07
O (0.978, 0.271, 0.256)  -0.06
O (0.978, 0.729, 0.244)  -0.06